[1]
# NaBeAsPt | the Open Quantum Materials Database | PBE | optimized geometry
# **Relative energy among the computed polymorphs**: 255.9 meV per atom
data_NaBeAsPt
_cell_length_a 6.279
_cell_length_b 6.279
_cell_length_c 6.279
_cell_angle_alpha 90.00
_cell_angle_beta 90.00
_cell_angle_gamma 90.00
_space_group_name_H-M_alt 'F -4 3 m'
_space_group_IT_number 216
_space_group_name_Hall 'F -4 2 3'
loop_
_atom_site_label
_atom_site_type_symbol
_atom_site_fract_x
_atom_site_fract_y
_atom_site_fract_z
_atom_site_occupancy
Na1 Na 0.000 0.000 0.000 1
Be1 Be 0.250 0.250 0.250 1
As1 As 0.000 0.000 0.500 1
Pt1 Pt 0.250 0.250 0.750 1

---

[2]
# Be2NbAs | the Open Quantum Materials Database | PBE | optimized geometry
# **Total energy**: -5.111 eV/atom
data_Be2NbAs
_cell_length_a 6.036
_cell_length_b 6.036
_cell_length_c 6.036
_cell_angle_alpha 90.00
_cell_angle_beta 90.00
_cell_angle_gamma 90.00
_space_group_name_H-M_alt 'F -4 3 m'
_space_group_IT_number 216
_space_group_name_Hall 'F -4 2 3'
loop_
_atom_site_label
_atom_site_type_symbol
_atom_site_fract_x
_atom_site_fract_y
_atom_site_fract_z
_atom_site_occupancy
Be1 Be 0.000 0.000 0.000 1
Be2 Be 0.250 0.250 0.250 1
Nb1 Nb 0.250 0.250 0.750 1
As1 As 0.000 0.000 0.500 1

---

[3]
# BeNbNiAs | the Open Quantum Materials Database | PBE | optimized geometry
# **Relative energy among the computed polymorphs**: 0.0 meV per atom
data_BeNbNiAs
_cell_length_a 5.975
_cell_length_b 5.975
_cell_length_c 5.975
_cell_angle_alpha 90.00
_cell_angle_beta 90.00
_cell_angle_gamma 90.00
_space_group_name_H-M_alt 'F -4 3 m'
_space_group_IT_number 216
_space_group_name_Hall 'F -4 2 3'
loop_
_atom_site_label
_atom_site_type_symbol
_atom_site_fract_x
_atom_site_fract_y
_atom_site_fract_z
_atom_site_occupancy
Be1 Be 0.000 0.000 0.000 1
Nb1 Nb 0.250 0.250 0.250 1
Ni1 Ni 0.250 0.250 0.750 1
As1 As 0.000 0.000 0.500 1

---

[4]
# BeNbNiAs | the Open Quantum Materials Database | PBE | optimized geometry
# **Relative energy among the computed polymorphs**: 268.8 meV per atom
data_BeNbNiAs
_cell_length_a 6.029
_cell_length_b 6.029
_cell_length_c 6.029
_cell_angle_alpha 90.00
_cell_angle_beta 90.00
_cell_angle_gamma 90.00
_space_group_name_H-M_alt 'F -4 3 m'
_space_group_IT_number 216
_space_group_name_Hall 'F -4 2 3'
loop_
_atom_site_label
_atom_site_type_symbol
_atom_site_fract_x
_atom_site_fract_y
_atom_site_fract_z
_atom_site_occupancy
Be1 Be 0.000 0.000 0.000 1
Nb1 Nb 0.250 0.250 0.750 1
Ni1 Ni 0.000 0.000 0.500 1
As1 As 0.250 0.250 0.250 1

---

[5]
# BeNbTeAs | the Open Quantum Materials Database | PBE | optimized geometry
# **Relative energy among the computed polymorphs**: 0.0 meV per atom
data_BeNbTeAs
_cell_length_a 6.631
_cell_length_b 6.631
_cell_length_c 6.631
_cell_angle_alpha 90.00
_cell_angle_beta 90.00
_cell_angle_gamma 90.00
_space_group_name_H-M_alt 'F -4 3 m'
_space_group_IT_number 216
_space_group_name_Hall 'F -4 2 3'
loop_
_atom_site_label
_atom_site_type_symbol
_atom_site_fract_x
_atom_site_fract_y
_atom_site_fract_z
_atom_site_occupancy
Be1 Be 0.000 0.000 0.000 1
Nb1 Nb 0.000 0.000 0.500 1
Te1 Te 0.250 0.250 0.750 1
As1 As 0.250 0.250 0.250 1

---

[6]
# BeNbTeAs | the Open Quantum Materials Database | PBE | optimized geometry
# **Relative energy among the computed polymorphs**: 268.8 meV per atom
data_BeNbTeAs
_cell_length_a 6.617
_cell_length_b 6.617
_cell_length_c 6.617
_cell_angle_alpha 90.00
_cell_angle_beta 90.00
_cell_angle_gamma 90.00
_space_group_name_H-M_alt 'F -4 3 m'
_space_group_IT_number 216
_space_group_name_Hall 'F -4 2 3'
loop_
_atom_site_label
_atom_site_type_symbol
_atom_site_fract_x
_atom_site_fract_y
_atom_site_fract_z
_atom_site_occupancy
Be1 Be 0.000 0.000 0.000 1
Nb1 Nb 0.250 0.250 0.250 1
Te1 Te 0.250 0.250 0.750 1
As1 As 0.000 0.000 0.500 1

---

[7]
# BeNbTeAs | the Open Quantum Materials Database | PBE | optimized geometry
# **Relative energy among the computed polymorphs**: 293.7 meV per atom
data_BeNbTeAs
_cell_length_a 6.670
_cell_length_b 6.670
_cell_length_c 6.670
_cell_angle_alpha 90.00
_cell_angle_beta 90.00
_cell_angle_gamma 90.00
_space_group_name_H-M_alt 'F -4 3 m'
_space_group_IT_number 216
_space_group_name_Hall 'F -4 2 3'
loop_
_atom_site_label
_atom_site_type_symbol
_atom_site_fract_x
_atom_site_fract_y
_atom_site_fract_z
_atom_site_occupancy
Be1 Be 0.000 0.000 0.000 1
Nb1 Nb 0.250 0.250 0.250 1
Te1 Te 0.000 0.000 0.500 1
As1 As 0.250 0.250 0.750 1

---

[8]
# NdBeAsO | the Open Quantum Materials Database | PBE | optimized geometry
# **Relative energy among the computed polymorphs**: 1419.6 meV per atom
data_NdBeAsO
_cell_length_a 3.858
_cell_length_b 3.858
_cell_length_c 9.882
_cell_angle_alpha 90.00
_cell_angle_beta 90.00
_cell_angle_gamma 90.00
_space_group_name_H-M_alt 'P 4/n m m'
_space_group_IT_number 129
loop_
_space_group_symop_operation_xyz
'x,y,z'
'-x,-y,-z'
'-y+1/2,x,z'
'y+1/2,-x,-z'
'-x+1/2,-y+1/2,z'
'x+1/2,y+1/2,-z'
'y,-x+1/2,z'
'-y,x+1/2,-z'
'x+1/2,-y,-z'
'-x+1/2,y,z'
'-y,-x,-z'
'y,x,z'
'-x,y+1/2,-z'
'x,-y+1/2,z'
'y+1/2,x+1/2,-z'
'-y+1/2,-x+1/2,z'
loop_
_atom_site_label
_atom_site_type_symbol
_atom_site_fract_x
_atom_site_fract_y
_atom_site_fract_z
_atom_site_occupancy
Nd1 Nd 0.250 0.750 0.000 1
Be1 Be 0.250 0.250 0.489 1
As1 As 0.250 0.250 0.231 1
O1 O 0.250 0.750 0.500 1

---

[9]
# NdBeAsO | the Open Quantum Materials Database | PBE | optimized geometry
# **Relative energy among the computed polymorphs**: 0.0 meV per atom
data_NdBeAsO
_cell_length_a 3.912
_cell_length_b 3.912
_cell_length_c 8.785
_cell_angle_alpha 90.00
_cell_angle_beta 90.00
_cell_angle_gamma 90.00
_space_group_name_H-M_alt 'P 4/n m m'
_space_group_IT_number 129
loop_
_space_group_symop_operation_xyz
'x,y,z'
'-x,-y,-z'
'-y+1/2,x,z'
'y+1/2,-x,-z'
'-x+1/2,-y+1/2,z'
'x+1/2,y+1/2,-z'
'y,-x+1/2,z'
'-y,x+1/2,-z'
'x+1/2,-y,-z'
'-x+1/2,y,z'
'-y,-x,-z'
'y,x,z'
'-x,y+1/2,-z'
'x,-y+1/2,z'
'y+1/2,x+1/2,-z'
'-y+1/2,-x+1/2,z'
loop_
_atom_site_label
_atom_site_type_symbol
_atom_site_fract_x
_atom_site_fract_y
_atom_site_fract_z
_atom_site_occupancy
Nd1 Nd 0.250 0.250 0.141 1
Be1 Be 0.250 0.750 0.500 1
As1 As 0.250 0.250 0.650 1
O1 O 0.250 0.750 0.000 1

---

[10]
# NdBeAsO | the Open Quantum Materials Database | PBE | optimized geometry
# **Relative energy among the computed polymorphs**: 53.3 meV per atom
data_NdBeAsO
_cell_length_a 4.262
_cell_length_b 6.164
_cell_length_c 5.706
_cell_angle_alpha 90.00
_cell_angle_beta 90.00
_cell_angle_gamma 90.00
_space_group_name_H-M_alt 'P m c 21'
_space_group_IT_number 26
loop_
_space_group_symop_operation_xyz
'x,y,z'
'-x,-y,z+1/2'
'-x,y,z'
'x,-y,z+1/2'
loop_
_atom_site_label
_atom_site_type_symbol
_atom_site_fract_x
_atom_site_fract_y
_atom_site_fract_z
_atom_site_occupancy
Nd1 Nd 0.000 0.249 0.000 1
Be1 Be 0.500 0.106 0.627 1
As1 As 0.000 0.269 0.509 1
O1 O 0.500 0.096 0.929 1

---

[11]
# NdBeAsO | the Open Quantum Materials Database | PBE | optimized geometry
# **Relative energy among the computed polymorphs**: 1422.9 meV per atom
data_NdBeAsO
_cell_length_a 3.886
_cell_length_b 3.886
_cell_length_c 9.705
_cell_angle_alpha 90.00
_cell_angle_beta 90.00
_cell_angle_gamma 90.00
_space_group_name_H-M_alt 'P 4/n m m'
_space_group_IT_number 129
loop_
_space_group_symop_operation_xyz
'x,y,z'
'-x,-y,-z'
'-y+1/2,x,z'
'y+1/2,-x,-z'
'-x+1/2,-y+1/2,z'
'x+1/2,y+1/2,-z'
'y,-x+1/2,z'
'-y,x+1/2,-z'
'x+1/2,-y,-z'
'-x+1/2,y,z'
'-y,-x,-z'
'y,x,z'
'-x,y+1/2,-z'
'x,-y+1/2,z'
'y+1/2,x+1/2,-z'
'-y+1/2,-x+1/2,z'
loop_
_atom_site_label
_atom_site_type_symbol
_atom_site_fract_x
_atom_site_fract_y
_atom_site_fract_z
_atom_site_occupancy
Nd1 Nd 0.250 0.750 0.000 1
Be1 Be 0.250 0.250 0.488 1
As1 As 0.250 0.250 0.231 1
O1 O 0.250 0.750 0.500 1

---

[12]
# NdBeAsO | the Open Quantum Materials Database | PBE | optimized geometry
# **Relative energy among the computed polymorphs**: 265.4 meV per atom
data_NdBeAsO
_cell_length_a 3.150
_cell_length_b 5.469
_cell_length_c 7.210
_cell_angle_alpha 90.00
_cell_angle_beta 90.00
_cell_angle_gamma 90.00
_space_group_name_H-M_alt 'P m c 21'
_space_group_IT_number 26
loop_
_space_group_symop_operation_xyz
'x,y,z'
'-x,-y,z+1/2'
'-x,y,z'
'x,-y,z+1/2'
loop_
_atom_site_label
_atom_site_type_symbol
_atom_site_fract_x
_atom_site_fract_y
_atom_site_fract_z
_atom_site_occupancy
Nd1 Nd 0.000 0.166 0.000 1
Be1 Be 0.500 0.304 0.355 1
As1 As 0.500 0.346 0.668 1
O1 O 0.000 0.191 0.320 1

---

[13]
# Be2Ni2AsP3 | the Open Quantum Materials Database | PBE | optimized geometry
# **Total energy**: -5.008 eV/atom
data_Be2Ni2AsP3
_cell_length_a 10.363
_cell_length_b 4.123
_cell_length_c 6.540
_cell_angle_alpha 90.00
_cell_angle_beta 126.90
_cell_angle_gamma 90.00
_space_group_name_H-M_alt 'C 1 2 1'
_space_group_IT_number 5
loop_
_space_group_symop_operation_xyz
'x,y,z'
'-x,y,-z'
'x+1/2,y+1/2,z'
'-x+1/2,y+1/2,-z'
loop_
_atom_site_label
_atom_site_type_symbol
_atom_site_fract_x
_atom_site_fract_y
_atom_site_fract_z
_atom_site_occupancy
Be1 Be 0.110 0.000 0.357 1
Ni1 Ni 0.153 0.584 0.898 1
As1 As 0.000 0.296 0.000 1
P1 P 0.000 0.747 0.500 1
P2 P 0.234 0.268 0.716 1

---

[14]
# BeNiAsPt | the Open Quantum Materials Database | PBE | optimized geometry
# **Relative energy among the computed polymorphs**: 0.0 meV per atom
data_BeNiAsPt
_cell_length_a 5.914
_cell_length_b 5.914
_cell_length_c 5.914
_cell_angle_alpha 90.00
_cell_angle_beta 90.00
_cell_angle_gamma 90.00
_space_group_name_H-M_alt 'F -4 3 m'
_space_group_IT_number 216
_space_group_name_Hall 'F -4 2 3'
loop_
_atom_site_label
_atom_site_type_symbol
_atom_site_fract_x
_atom_site_fract_y
_atom_site_fract_z
_atom_site_occupancy
Be1 Be 0.000 0.000 0.000 1
Ni1 Ni 0.250 0.250 0.750 1
As1 As 0.000 0.000 0.500 1
Pt1 Pt 0.250 0.250 0.250 1

---

[15]
# BeNiAsPt | the Open Quantum Materials Database | PBE | optimized geometry
# **Relative energy among the computed polymorphs**: 138.0 meV per atom
data_BeNiAsPt
_cell_length_a 5.949
_cell_length_b 5.949
_cell_length_c 5.949
_cell_angle_alpha 90.00
_cell_angle_beta 90.00
_cell_angle_gamma 90.00
_space_group_name_H-M_alt 'F -4 3 m'
_space_group_IT_number 216
_space_group_name_Hall 'F -4 2 3'
loop_
_atom_site_label
_atom_site_type_symbol
_atom_site_fract_x
_atom_site_fract_y
_atom_site_fract_z
_atom_site_occupancy
Be1 Be 0.000 0.000 0.000 1
Ni1 Ni 0.000 0.000 0.500 1
As1 As 0.250 0.250 0.250 1
Pt1 Pt 0.250 0.250 0.750 1

---

[16]
# RbBeNiAs | the Open Quantum Materials Database | PBE | optimized geometry
# **Relative energy among the computed polymorphs**: 136.0 meV per atom
data_RbBeNiAs
_cell_length_a 6.839
_cell_length_b 6.839
_cell_length_c 6.839
_cell_angle_alpha 90.00
_cell_angle_beta 90.00
_cell_angle_gamma 90.00
_space_group_name_H-M_alt 'F -4 3 m'
_space_group_IT_number 216
_space_group_name_Hall 'F -4 2 3'
loop_
_atom_site_label
_atom_site_type_symbol
_atom_site_fract_x
_atom_site_fract_y
_atom_site_fract_z
_atom_site_occupancy
Rb1 Rb 0.000 0.000 0.000 1
Be1 Be 0.000 0.000 0.500 1
Ni1 Ni 0.250 0.250 0.750 1
As1 As 0.250 0.250 0.250 1

---

[17]
# RbBeNiAs | the Open Quantum Materials Database | PBE | optimized geometry
# **Relative energy among the computed polymorphs**: 0.0 meV per atom
data_RbBeNiAs
_cell_length_a 6.589
_cell_length_b 6.589
_cell_length_c 6.589
_cell_angle_alpha 90.00
_cell_angle_beta 90.00
_cell_angle_gamma 90.00
_space_group_name_H-M_alt 'F -4 3 m'
_space_group_IT_number 216
_space_group_name_Hall 'F -4 2 3'
loop_
_atom_site_label
_atom_site_type_symbol
_atom_site_fract_x
_atom_site_fract_y
_atom_site_fract_z
_atom_site_occupancy
Rb1 Rb 0.000 0.000 0.000 1
Be1 Be 0.250 0.250 0.250 1
Ni1 Ni 0.250 0.250 0.750 1
As1 As 0.000 0.000 0.500 1

---

[18]
# BeReNiAs | the Open Quantum Materials Database | PBE | optimized geometry
# **Total energy**: -6.004 eV/atom
data_BeReNiAs
_cell_length_a 5.871
_cell_length_b 5.871
_cell_length_c 5.871
_cell_angle_alpha 90.00
_cell_angle_beta 90.00
_cell_angle_gamma 90.00
_space_group_name_H-M_alt 'F -4 3 m'
_space_group_IT_number 216
_space_group_name_Hall 'F -4 2 3'
loop_
_atom_site_label
_atom_site_type_symbol
_atom_site_fract_x
_atom_site_fract_y
_atom_site_fract_z
_atom_site_occupancy
Be1 Be 0.000 0.000 0.000 1
Re1 Re 0.250 0.250 0.750 1
Ni1 Ni 0.000 0.000 0.500 1
As1 As 0.250 0.250 0.250 1

---

[19]
# ScBeNiAs | the Open Quantum Materials Database | PBE | optimized geometry
# **Relative energy among the computed polymorphs**: 0.0 meV per atom
data_ScBeNiAs
_cell_length_a 6.107
_cell_length_b 6.107
_cell_length_c 6.107
_cell_angle_alpha 90.00
_cell_angle_beta 90.00
_cell_angle_gamma 90.00
_space_group_name_H-M_alt 'F -4 3 m'
_space_group_IT_number 216
_space_group_name_Hall 'F -4 2 3'
loop_
_atom_site_label
_atom_site_type_symbol
_atom_site_fract_x
_atom_site_fract_y
_atom_site_fract_z
_atom_site_occupancy
Sc1 Sc 0.000 0.000 0.000 1
Be1 Be 0.000 0.000 0.500 1
Ni1 Ni 0.250 0.250 0.250 1
As1 As 0.250 0.250 0.750 1

---

[20]
# ScBeNiAs | the Open Quantum Materials Database | PBE | optimized geometry
# **Relative energy among the computed polymorphs**: 1.7 meV per atom
data_ScBeNiAs
_cell_length_a 6.096
_cell_length_b 6.096
_cell_length_c 6.096
_cell_angle_alpha 90.00
_cell_angle_beta 90.00
_cell_angle_gamma 90.00
_space_group_name_H-M_alt 'F -4 3 m'
_space_group_IT_number 216
_space_group_name_Hall 'F -4 2 3'
loop_
_atom_site_label
_atom_site_type_symbol
_atom_site_fract_x
_atom_site_fract_y
_atom_site_fract_z
_atom_site_occupancy
Sc1 Sc 0.000 0.000 0.000 1
Be1 Be 0.250 0.250 0.750 1
Ni1 Ni 0.000 0.000 0.500 1
As1 As 0.250 0.250 0.250 1